1.
First-principles (PBE) data for a relaxed TbNd2Zn2Sn2 crystal, as listed in Alexandria.

Values from the calculation:
* calculated volume: 26.0 Å³ per atom
* formation energy from the elements: -0.365 eV/atom
* ρ: 7.44 g/cm3

Cell and atoms, written as CIF:
```
data_TbNd2Zn2Sn2
_symmetry_space_group_name_H-M 'R -3 m'
_symmetry_Int_Tables_number 166
_symmetry_space_group_name_Hall '-R 3 2"'
_cell_length_a 4.6457
_cell_length_b 4.6457
_cell_length_c 29.2219
_cell_angle_alpha 90.00
_cell_angle_beta 90.00
_cell_angle_gamma 120.00
loop_
_atom_site_label
_atom_site_type_symbol
_atom_site_fract_x
_atom_site_fract_y
_atom_site_fract_z
Tb1 Tb 0.0000 0.0000 0.0000
Nd1 Nd 0.0000 0.0000 0.1292
Zn1 Zn 0.0000 0.0000 0.4134
Sn1 Sn 0.0000 0.0000 0.2713
```

2.
First-principles (PBE) data for a relaxed TlZn2Ir4 crystal, as listed in Alexandria.

Values from the calculation:
* calculated volume: 21.8 Å³ per atom
* formation energy from the elements: 1.752 eV/atom
* ρ: 12.00 g/cm3

Cell and atoms, written as CIF:
```
data_TlZn2Ir4
_symmetry_space_group_name_H-M 'I 4/m m m'
_symmetry_Int_Tables_number 139
_symmetry_space_group_name_Hall '-I 4 2'
_cell_length_a 4.9028
_cell_length_b 4.9028
_cell_length_c 12.7080
_cell_angle_alpha 90.00
_cell_angle_beta 90.00
_cell_angle_gamma 90.00
loop_
_atom_site_label
_atom_site_type_symbol
_atom_site_fract_x
_atom_site_fract_y
_atom_site_fract_z
Tl1 Tl 0.0000 0.0000 0.0000
Zn1 Zn 0.0000 0.0000 0.4017
Ir1 Ir 0.0000 0.0000 0.2112
Ir2 Ir 0.0000 0.5000 0.0000
```

3.
First-principles (PBE) data for a relaxed Tb3Pr2Y6Er crystal, as listed in Alexandria.

Values from the calculation:
* calculated volume: 32.6 Å³ per atom
* formation energy from the elements: 0.017 eV/atom
* ρ: 6.20 g/cm3

Cell and atoms, written as CIF:
```
data_Tb3Pr2Y6Er
_symmetry_space_group_name_H-M 'C 1 2/m 1'
_symmetry_Int_Tables_number 12
_cell_length_a 6.2163
_cell_length_b 10.7591
_cell_length_c 11.8683
_cell_angle_alpha 90.00
_cell_angle_beta 100.00
_cell_angle_gamma 90.00
loop_
_symmetry_equiv_pos_as_xyz
'x,y,z'
'-x,-y,-z'
'-x,y,-z'
'x,-y,z'
'x+1/2,y+1/2,z'
'-x+1/2,-y+1/2,-z'
'-x+1/2,y+1/2,-z'
'x+1/2,-y+1/2,z'
loop_
_atom_site_label
_atom_site_type_symbol
_atom_site_fract_x
_atom_site_fract_y
_atom_site_fract_z
Tb1 Tb 0.0000 0.0000 0.0000
Tb2 Tb 0.0000 0.3335 0.0000
Pr1 Pr 0.0000 0.1665 0.5000
Y1 Y 0.2480 0.5000 0.2474
Y2 Y 0.2496 0.1662 0.2478
Er1 Er 0.0000 0.5000 0.5000
```

4.
First-principles (PBE) data for a relaxed HgP2W crystal, as listed in Alexandria.

Values from the calculation:
* calculated volume: 17.2 Å³ per atom
* formation energy from the elements: 0.649 eV/atom
* ρ: 10.76 g/cm3

Cell and atoms, written as CIF:
```
data_HgP2W
_symmetry_space_group_name_H-M 'C m m 2'
_symmetry_Int_Tables_number 35
_cell_length_a 3.2945
_cell_length_b 4.8526
_cell_length_c 8.6203
_cell_angle_alpha 90.00
_cell_angle_beta 90.00
_cell_angle_gamma 90.00
loop_
_symmetry_equiv_pos_as_xyz
'x,y,z'
'-x,-y,z'
'-x,y,z'
'x,-y,z'
'x+1/2,y+1/2,z'
'-x+1/2,-y+1/2,z'
'-x+1/2,y+1/2,z'
'x+1/2,-y+1/2,z'
loop_
_atom_site_label
_atom_site_type_symbol
_atom_site_fract_x
_atom_site_fract_y
_atom_site_fract_z
Hg1 Hg 0.0000 0.0000 0.0000
P1 P 0.0000 0.0000 0.4864
P2 P 0.0000 0.5000 0.7366
W1 W 0.0000 0.5000 0.2863
```

5.
First-principles (PBE) data for a relaxed CaUCu2O8 crystal, as listed in Alexandria.

Values from the calculation:
* calculated volume: 12.3 Å³ per atom
* ΔE_f (raw): -1.57 eV/atom
* ρ: 5.99 g/cm3

Cell and atoms, written as CIF:
```
data_CaUCu2O8
_symmetry_space_group_name_H-M 'I -4'
_symmetry_Int_Tables_number 82
_cell_length_a 5.2764
_cell_length_b 5.2764
_cell_length_c 10.6242
_cell_angle_alpha 90.00
_cell_angle_beta 90.00
_cell_angle_gamma 90.00
loop_
_symmetry_equiv_pos_as_xyz
'x,y,z'
'y,-x,-z'
'-x,-y,z'
'-y,x,-z'
'x+1/2,y+1/2,z+1/2'
'y+1/2,-x+1/2,-z+1/2'
'-x+1/2,-y+1/2,z+1/2'
'-y+1/2,x+1/2,-z+1/2'
loop_
_atom_site_label
_atom_site_type_symbol
_atom_site_fract_x
_atom_site_fract_y
_atom_site_fract_z
Ca1 Ca 0.0000 0.0000 0.0000
U1 U 0.0000 0.5000 0.7500
Cu1 Cu 0.0000 0.0000 0.5000
Cu2 Cu 0.0000 0.5000 0.2500
O1 O 0.0762 0.3759 0.5351
O2 O 0.1755 0.8046 0.2229
```

6.
First-principles (PBE) data for a relaxed ScMo crystal, as listed in Alexandria.

Values from the calculation:
* E above lowest polymorph: 37.69 kJ/mol of atoms
* calculated volume: 18.5 Å³ per atom
* formation energy from the elements: 0.367 eV/atom
* ρ: 6.33 g/cm3

Cell and atoms, written as CIF:
```
data_ScMo
_symmetry_space_group_name_H-M 'R -3 m'
_symmetry_Int_Tables_number 166
_symmetry_space_group_name_Hall '-R 3 2"'
_cell_length_a 2.9682
_cell_length_b 2.9682
_cell_length_c 14.5281
_cell_angle_alpha 90.00
_cell_angle_beta 90.00
_cell_angle_gamma 120.00
loop_
_atom_site_label
_atom_site_type_symbol
_atom_site_fract_x
_atom_site_fract_y
_atom_site_fract_z
Sc1 Sc 0.0000 0.0000 0.0000
Mo1 Mo 0.0000 0.0000 0.5000
```

7.
First-principles (PBE) data for a relaxed RbSnBrCl2 crystal, as listed in Alexandria.

Values from the calculation:
* calculated volume: 36.8 Å³ per atom
* ΔE_f (raw): -1.32 eV/atom
* ρ: 3.20 g/cm3

Cell and atoms, written as CIF:
```
data_RbSnBrCl2
_symmetry_space_group_name_H-M 'P 4/m m m'
_symmetry_Int_Tables_number 123
_symmetry_space_group_name_Hall '-P 4 2'
_cell_length_a 5.5847
_cell_length_b 5.5847
_cell_length_c 5.8994
_cell_angle_alpha 90.00
_cell_angle_beta 90.00
_cell_angle_gamma 90.00
loop_
_atom_site_label
_atom_site_type_symbol
_atom_site_fract_x
_atom_site_fract_y
_atom_site_fract_z
Rb1 Rb 0.0000 0.0000 0.0000
Sn1 Sn 0.5000 0.5000 0.5000
Br1 Br 0.5000 0.5000 0.0000
Cl1 Cl 0.0000 0.5000 0.5000
```

8.
First-principles (PBE) data for a relaxed Li2InRu crystal, as listed in Alexandria.

Values from the calculation:
* calculated volume: 16.5 Å³ per atom
* formation energy from the elements: 0.306 eV/atom
* ρ: 5.77 g/cm3

Cell and atoms, written as CIF:
```
data_Li2InRu
_symmetry_space_group_name_H-M 'I -4 2 d'
_symmetry_Int_Tables_number 122
_symmetry_space_group_name_Hall 'I -4 2bw'
_cell_length_a 7.0703
_cell_length_b 7.0703
_cell_length_c 5.2954
_cell_angle_alpha 90.00
_cell_angle_beta 90.00
_cell_angle_gamma 90.00
loop_
_atom_site_label
_atom_site_type_symbol
_atom_site_fract_x
_atom_site_fract_y
_atom_site_fract_z
Li1 Li 0.2331 0.2500 0.1250
In1 In 0.0000 0.0000 0.5000
Ru1 Ru 0.0000 0.0000 0.0000
```